1.
Computed, not measured: crystalline Ti2Nb2Ir at its relaxed geometry at the PBE level of DFT.

abc: 13.285 4.401 2.877
angles: 90.00 99.94 90.00
Space group C2/m (No. 12)
One atom of each set of equivalent atoms:
Ti  0.094  0.000  0.387 x4
Nb  0.199  0.500  0.811 x4
Ir  0.000  0.500  0.000 x2

Values from the calculation:
Size of the total moment ... 0.00 μB/atom
Calculated volume ... 165.66 Å³ per cell
ΔH_f (0 K) ... -362.2 meV/atom

***

2.
Computed, not measured: crystalline TiNbIr3 at its relaxed geometry at the PBE level of DFT.

abc: 5.243 13.318 4.924
angles: 90.00 90.00 90.00
Space group Cmcm (No. 63)
One atom of each set of equivalent atoms:
Ti  0.000  0.062  0.250 x4
Nb  0.000  0.310  0.750 x4
Ir  0.000  0.500  0.000 x4
Ir  0.241  0.140  0.750 x8

Values from the calculation:
Size of the total moment ... 0.00 μB/atom
Energy above the most stable polymorph in this dataset ... 0.000 eV/atom
Calculated volume ... 343.84 Å³ per cell
ΔH_f (0 K) ... -204.7 meV/atom

***

3.
Computed, not measured: crystalline Ti3NbIr at its relaxed geometry at the PBE level of DFT.

abc: 4.615 4.615 4.615
angles: 90.00 90.00 90.00
Space group Pm-3m (No. 221)
One atom of each set of equivalent atoms:
Ti  0.000  0.000  0.500 x3
Nb  0.000  0.000  0.000 x1
Ir  0.500  0.500  0.500 x1

Values from the calculation:
Size of the total moment ... 0.04 μB/atom
Energy above the most stable polymorph in this dataset ... 1.506 eV/atom
Calculated volume ... 98.29 Å³ per cell
ΔH_f (0 K) ... 1103.1 meV/atom

***

4.
Computed, not measured: crystalline Ti8Nb2Ir at its relaxed geometry at the PBE level of DFT.

abc: 15.291 4.539 5.350
angles: 90.00 90.76 90.00
Space group C2/m (No. 12)
One atom of each set of equivalent atoms:
Ti  0.044  0.000  0.272 x4
Ti  0.083  0.500  0.580 x4
Ti  0.144  0.000  0.798 x4
Ti  0.171  0.500  0.093 x4
Nb  0.232  0.000  0.351 x4
Ir  0.000  0.500  0.000 x2

Values from the calculation:
Size of the total moment ... 0.00 μB/atom
Calculated volume ... 371.31 Å³ per cell
ΔH_f (0 K) ... -194.4 meV/atom

***

5.
Computed, not measured: crystalline TiNb3Ir6 at its relaxed geometry at the PBE level of DFT.

abc: 7.646 4.535 9.632
angles: 90.00 110.15 90.00
Space group P2_1/m (No. 11)
One atom of each set of equivalent atoms:
Ti  0.115  0.250  0.050 x2
Nb  0.068  0.750  0.739 x2
Nb  0.298  0.750  0.533 x2
Nb  0.327  0.250  0.859 x2
Ir  0.103  0.750  0.227 x2
Ir  0.108  0.250  0.573 x2
Ir  0.292  0.750  0.025 x2
Ir  0.304  0.250  0.366 x2
Ir  0.489  0.750  0.329 x2
Ir  0.495  0.250  0.170 x2

Values from the calculation:
Size of the total moment ... 0.00 μB/atom
Calculated volume ... 313.55 Å³ per cell
ΔH_f (0 K) ... -565.2 meV/atom

***

6.
Computed, not measured: crystalline Ti6Nb2Ir at its relaxed geometry at the PBE level of DFT.

abc: 13.732 6.145 4.393
angles: 90.00 108.60 90.00
Space group C2/m (No. 12)
One atom of each set of equivalent atoms:
Ti  0.000  0.248  0.000 x4
Ti  0.161  0.249  0.661 x8
Nb  0.167  0.500  0.167 x4
Ir  0.000  0.000  0.500 x2

Values from the calculation:
Size of the total moment ... 0.00 μB/atom
Calculated volume ... 351.39 Å³ per cell
ΔH_f (0 K) ... 330.0 meV/atom

***

7.
Computed, not measured: crystalline Ti5NbIr4 at its relaxed geometry at the PBE level of DFT.

abc: 3.177 3.177 15.405
angles: 90.00 90.00 90.00
Space group P4/mmm (No. 123)
One atom of each set of equivalent atoms:
Ti  0.000  0.000  0.000 x1
Ti  0.000  0.000  0.196 x2
Ti  0.000  0.000  0.393 x2
Nb  0.500  0.500  0.500 x1
Ir  0.500  0.500  0.097 x2
Ir  0.500  0.500  0.291 x2

Values from the calculation:
Size of the total moment ... 0.00 μB/atom
Calculated volume ... 155.44 Å³ per cell
ΔH_f (0 K) ... -686.4 meV/atom

***

8.
Computed, not measured: crystalline TiNbIr3 at its relaxed geometry at the PBE level of DFT.

abc: 4.529 4.529 4.529
angles: 90.00 90.00 90.00
Space group Pm-3m (No. 221)
One atom of each set of equivalent atoms:
Ti  0.000  0.000  0.000 x1
Nb  0.500  0.500  0.500 x1
Ir  0.000  0.000  0.500 x3

Values from the calculation:
Size of the total moment ... 0.00 μB/atom
Energy above the most stable polymorph in this dataset ... 1.147 eV/atom
Calculated volume ... 92.91 Å³ per cell
ΔH_f (0 K) ... 941.9 meV/atom

***

Among the records above, which one has the highest ΔH_f (0 K)? Ti3NbIr

***

Look up the ΔH_f (0 K) of the eighth one. 941.9 meV/atom